No. 1
A plane-wave DFT calculation with SCAN was carried out for ScFe4Tc at its PBEsol-relaxed geometry.

Cell: 4.7289 4.7289 4.7289 Å, 60.00 60.00 60.00°
Each line ends with the local moment (μB).
Element x y z (fractional)
Sc 0.7500 0.7500 0.7500  -0.18
Fe 0.3740 0.3740 0.3740  2.27
Fe 0.3740 0.8780 0.3740  2.27
Fe 0.8780 0.3740 0.3740  2.27
Fe 0.3740 0.3740 0.8780  2.27
Tc 0.0000 0.0000 0.0000  0.38

* E_form: -0.007 eV/atom
* SG: F-43m



No. 2
A plane-wave DFT calculation with SCAN was carried out for SrMoSe2 at its PBEsol-relaxed geometry.

Cell: 4.5936 4.5936 8.3527 Å, 74.04 74.04 60.00°
Each line ends with the local moment (μB).
Element x y z (fractional)
Sr 0.5000 0.5000 0.5000  0.01
Mo 0.0000 0.0000 0.0000  3.47
Se 0.8981 0.8981 0.3057  -0.09
Se 0.1019 0.1019 0.6943  -0.09

* uncorrected formation energy: -0.37 eV per atom
* SG: R-3m



No. 3
A plane-wave DFT calculation with SCAN was carried out for AgAsRu at its PBEsol-relaxed geometry.

Cell: 2.8080 2.8080 7.0970 Å, 96.32 96.32 116.33°
Element x y z (fractional)
Ru 0.6780 0.6780 0.3559
As 0.3141 0.3141 0.6282
Ag 0.0079 0.0079 0.0159

* E_form: 0.343 eV/atom
* SG: Fmm2



No. 4
A plane-wave DFT calculation with SCAN was carried out for Ba2CaPt at its PBEsol-relaxed geometry.

Cell: 4.3343 6.3257 7.0896 Å, 116.50 90.00 90.00°
Element x y z (fractional)
Ca 0.0000 0.6003 0.2007
Pt 0.5000 0.7403 0.4806
Ba 0.0000 0.9090 0.8181
Ba 0.5000 0.2450 0.4899

* E_form: -0.525 eV/atom
* SG: Amm2
* energy relative to the lowest polymorph listed for this composition: 0.000 eV/atom



No. 5
A plane-wave DFT calculation with SCAN was carried out for LaTa2P at its PBEsol-relaxed geometry.

Cell: 3.0346 3.0346 8.8888 Å, 90.00 90.00 109.37°
Element x y z (fractional)
Ta 0.0000 0.0000 0.1905
Ta 0.0000 0.0000 0.8095
P 0.5000 0.5000 0.0000
La 0.5000 0.5000 0.5000

* E_form: 0.082 eV/atom
* SG: Cmmm



No. 6
A plane-wave DFT calculation with SCAN was carried out for PbCl2 at its PBEsol-relaxed geometry.

Cell: 4.0879 9.9030 15.2603 Å, 89.99 90.00 90.00°
Element x y z (fractional)
Cl 0.7498 0.3077 0.5049
Cl 0.2483 0.4487 0.3360
Cl 0.7483 0.5513 0.1640
Cl 0.7487 0.1924 0.2549
Cl 0.7517 0.5513 0.6640
Cl 0.2498 0.0513 0.0860
Cl 0.2513 0.8076 0.7451
Cl 0.2502 0.0513 0.5860
Cl 0.7498 0.9487 0.4140
Cl 0.7513 0.1924 0.7549
Cl 0.7502 0.9487 0.9140
Pb 0.7520 0.6586 0.8400
Pb 0.7502 0.8415 0.5900
Pb 0.2502 0.1585 0.9100
Pb 0.2520 0.3414 0.6600
Pb 0.7498 0.8415 0.0900
Cl 0.2498 0.6923 0.9951
Cl 0.2502 0.6923 0.4951
Cl 0.2517 0.4487 0.8360
Pb 0.2480 0.3414 0.1600
Pb 0.2498 0.1585 0.4100
Pb 0.7480 0.6586 0.3400
Cl 0.7502 0.3077 0.0049
Cl 0.2487 0.8076 0.2451

* uncorrected formation energy: -1.23 eV per atom
* SG: P2_1/c



No. 7
A plane-wave DFT calculation with SCAN was carried out for MoWI2Cl at its PBEsol-relaxed geometry.

Cell: 4.5025 5.5097 5.5097 Å, 90.00 90.00 90.00°
Each line ends with the local moment (μB).
Element x y z (fractional)
W 0.0000 0.0000 0.0000  -1.58
Mo 0.5000 0.5000 0.5000  4.30
I 0.0000 0.0000 0.5000  -0.02
I 0.0000 0.5000 0.0000  -0.02
Cl 0.5000 0.0000 0.0000  0.01

* uncorrected formation energy: 1.13 eV per atom
* SG: P4/mmm



No. 8
A plane-wave DFT calculation with SCAN was carried out for ScTlCl2 at its PBEsol-relaxed geometry.

Cell: 3.3160 5.8822 5.9918 Å, 119.40 106.06 90.00°
Element x y z (fractional)
Cl 0.1886 0.1886 0.3772
Cl 0.8114 0.8114 0.6228
Sc 0.5000 0.0000 0.0000
Tl 0.0000 0.5000 0.0000

* uncorrected formation energy: -1.37 eV per atom
* SG: Immm



How do the records compare in M_tot? In the order shown, they have 9.179; 4.001; 0.007; 0.198; 0.000; 0.000; 2.991; 0.004 Bohr magnetons per cell.